1.
# NiBrCl4 PBE-GGA optimized geometry
# Electronic total energy = -15.481 eV/cell
# E_form (uncorrected) = -0.64 eV/f.u.
# DOS at the Fermi energy = 3.18 states/eV per cell
data_NiBrCl4
_cell_length_a 5.679
_cell_length_b 5.808
_cell_length_c 7.829
_cell_angle_alpha 109.55
_cell_angle_beta 104.69
_cell_angle_gamma 99.50
_space_group_name_H-M_alt 'P 1'
_space_group_IT_number 1
_space_group_name_Hall 'P 1'
loop_
_atom_site_label
_atom_site_type_symbol
_atom_site_fract_x
_atom_site_fract_y
_atom_site_fract_z
Ni1 Ni 0.000 0.000 0.000
Br1 Br 0.684 0.698 0.988
Cl1 Cl 0.250 0.620 0.613
Cl2 Cl 0.353 0.077 0.201
Cl3 Cl 0.921 0.178 0.810
Cl4 Cl 0.985 0.605 0.379



2.
# TaReRu PBE-GGA optimized geometry
# Formation energy from the elements = 0.004 eV per atom
# Electronic total energy = -33.565 eV/cell
# DOS at the Fermi energy = 3.73 states/eV per cell
data_TaReRu
_cell_length_a 4.952
_cell_length_b 4.952
_cell_length_c 4.952
_cell_angle_alpha 146.90
_cell_angle_beta 134.07
_cell_angle_gamma 57.78
_space_group_name_H-M_alt 'P 1'
_space_group_IT_number 1
_space_group_name_Hall 'P 1'
loop_
_atom_site_label
_atom_site_type_symbol
_atom_site_fract_x
_atom_site_fract_y
_atom_site_fract_z
Ta1 Ta 0.000 0.000 0.000
Re1 Re 0.324 0.324 0.000
Ru1 Ru 0.676 0.676 0.000



3.
# TcBr PBE-GGA optimized geometry
# Electronic total energy = -66.936 eV/cell
# E_form (uncorrected) = 0.88 eV/f.u.
# DOS at the Fermi energy = 10.28 states/eV per cell
data_TcBr
_cell_length_a 10.299
_cell_length_b 3.150
_cell_length_c 8.322
_cell_angle_alpha 90.00
_cell_angle_beta 90.00
_cell_angle_gamma 90.00
_space_group_name_H-M_alt 'P 1'
_space_group_IT_number 1
_space_group_name_Hall 'P 1'
loop_
_atom_site_label
_atom_site_type_symbol
_atom_site_fract_x
_atom_site_fract_y
_atom_site_fract_z
Tc1 Tc 0.000 0.203 0.000
Tc2 Tc 0.197 0.263 0.118
Tc3 Tc 0.303 0.737 0.618
Tc4 Tc 0.500 0.797 0.500
Tc5 Tc 0.697 0.737 0.618
Tc6 Tc 0.803 0.263 0.118
Br1 Br 0.000 0.694 0.760
Br2 Br 0.181 0.234 0.424
Br3 Br 0.319 0.766 0.924
Br4 Br 0.500 0.306 0.260
Br5 Br 0.681 0.766 0.924
Br6 Br 0.819 0.234 0.424



4.
# Cs2TaGeI6 PBE-GGA optimized geometry
# Electronic total energy = -33.486 eV/cell
# E_form (uncorrected) = -6.01 eV/f.u.
# DOS at the Fermi energy = 5.73 states/eV per cell
data_Cs2TaGeI6
_cell_length_a 8.435
_cell_length_b 8.435
_cell_length_c 8.435
_cell_angle_alpha 120.14
_cell_angle_beta 120.14
_cell_angle_gamma 89.76
_space_group_name_H-M_alt 'P 1'
_space_group_IT_number 1
_space_group_name_Hall 'P 1'
loop_
_atom_site_label
_atom_site_type_symbol
_atom_site_fract_x
_atom_site_fract_y
_atom_site_fract_z
Cs1 Cs 0.250 0.750 0.500
Cs2 Cs 0.750 0.250 0.500
Ta1 Ta 0.000 0.000 0.000
Ge1 Ge 0.500 0.500 0.000
I1 I 0.242 0.242 0.000
I2 I 0.242 0.242 0.485
I3 I 0.242 0.758 0.000
I4 I 0.758 0.242 0.000
I5 I 0.758 0.758 0.000
I6 I 0.758 0.758 0.515



5.
# NpMnGa PBE-GGA optimized geometry
# Formation energy from the elements = 0.213 eV per atom
# Electronic total energy = -24.499 eV/cell
# DOS at the Fermi energy = 4.24 states/eV per cell
data_NpMnGa
_cell_length_a 4.671
_cell_length_b 4.671
_cell_length_c 2.462
_cell_angle_alpha 90.00
_cell_angle_beta 90.00
_cell_angle_gamma 120.00
_space_group_name_H-M_alt 'P 1'
_space_group_IT_number 1
_space_group_name_Hall 'P 1'
loop_
_atom_site_label
_atom_site_type_symbol
_atom_site_fract_x
_atom_site_fract_y
_atom_site_fract_z
Np1 Np 0.000 0.000 0.000
Mn1 Mn 0.667 0.333 0.500
Ga1 Ga 0.333 0.667 0.500



6.
# K3Hg4Bi PBE-GGA optimized geometry
# Formation energy from the elements = -0.198 eV per atom
# Electronic total energy = -9.967 eV/cell
# DOS at the Fermi energy = 4.37 states/eV per cell
data_K3Hg4Bi
_cell_length_a 9.008
_cell_length_b 9.008
_cell_length_c 9.008
_cell_angle_alpha 144.58
_cell_angle_beta 129.05
_cell_angle_gamma 63.58
_space_group_name_H-M_alt 'P 1'
_space_group_IT_number 1
_space_group_name_Hall 'P 1'
loop_
_atom_site_label
_atom_site_type_symbol
_atom_site_fract_x
_atom_site_fract_y
_atom_site_fract_z
K1 K 0.000 0.000 0.000
K2 K 0.338 0.838 0.500
K3 K 0.662 0.162 0.500
Hg1 Hg 0.063 0.369 0.694
Hg2 Hg 0.325 0.631 0.694
Hg3 Hg 0.675 0.369 0.306
Hg4 Hg 0.937 0.631 0.306
Bi1 Bi 0.500 0.500 0.000